Entry i
# DyHo12Sc6 (PBE, optimized geometry)
# - total moment (μB per atom) = 0.000
data_DyHo12Sc6
_chemical_formula_sum 'Dy2 Ho24 Sc12'
_symmetry_space_group_name_H-M 'I m -3'
_symmetry_Int_Tables_number 204
_symmetry_space_group_name_Hall '-I 2 2 3'
_cell_length_a 10.399
_cell_length_b 10.399
_cell_length_c 10.399
_cell_angle_alpha 90.00
_cell_angle_beta 90.00
_cell_angle_gamma 90.00
loop_
_atom_site_label
_atom_site_type_symbol
_atom_site_fract_x
_atom_site_fract_y
_atom_site_fract_z
Dy1 Dy 0.000 0.000 0.000
Ho1 Ho 0.000 0.266 0.196
Sc1 Sc 0.000 0.138 0.500

---

Entry ii
# DyHo12Sc6 (PBE, optimized geometry)
# - total moment (μB per atom) = 0.000
data_DyHo12Sc6
_chemical_formula_sum 'Dy3 Ho36 Sc18'
_symmetry_space_group_name_H-M 'R -3 m'
_symmetry_Int_Tables_number 166
_symmetry_space_group_name_Hall '-R 3 2"'
_cell_length_a 14.5501
_cell_length_b 14.5501
_cell_length_c 9.7939
_cell_angle_alpha 90.00
_cell_angle_beta 90.00
_cell_angle_gamma 120.00
loop_
_atom_site_label
_atom_site_type_symbol
_atom_site_fract_x
_atom_site_fract_y
_atom_site_fract_z
Dy1 Dy 0.0000 0.0000 0.0000
Ho1 Ho 0.0000 0.3880 0.5000
Ho2 Ho 0.0747 0.1493 0.2965
Sc1 Sc 0.0576 0.5288 0.2168

---

Short version: entry i is the most stable of them.